[1]
# LiCd4Sn GGA-PBE relaxed
# Spin magnetization = 0.0 μB per cell
# Uncorrected energy = -1.613 eV per atom
# ΔE_f = -0.017 eV/atom
# Excess energy over the best structure of this formula in the dataset = 61 meV/atom
data_LiCd4Sn
_chemical_formula_sum 'Li4 Cd16 Sn4'
_space_group_name_H-M_alt 'F -4 3 m'
_space_group_IT_number 216
_space_group_name_Hall 'F -4 2 3'
_cell_length_a 8.320
_cell_length_b 8.320
_cell_length_c 8.320
_cell_angle_alpha 90.00
_cell_angle_beta 90.00
_cell_angle_gamma 90.00
loop_
_atom_site_label
_atom_site_fract_x
_atom_site_fract_y
_atom_site_fract_z
Li1 0.000 0.000 0.000
Cd1 0.126 0.126 0.374
Sn1 0.250 0.250 0.750

[2]
# TaMn2Br GGA-PBE relaxed
# Raw formation energy = 721 meV per atom
# Spin magnetization = 0.0 μB per cell
# Uncorrected energy = -7.245 eV per atom
# Excess energy over the best structure of this formula in the dataset = 511 meV/atom
data_TaMn2Br
_chemical_formula_sum 'Ta1 Mn2 Br1'
_space_group_name_H-M_alt 'P 4/m m m'
_space_group_IT_number 123
_space_group_name_Hall '-P 4 2'
_cell_length_a 4.328
_cell_length_b 4.328
_cell_length_c 3.066
_cell_angle_alpha 90.00
_cell_angle_beta 90.00
_cell_angle_gamma 90.00
loop_
_atom_site_label
_atom_site_fract_x
_atom_site_fract_y
_atom_site_fract_z
Ta1 0.000 0.000 0.000
Mn1 0.000 0.500 0.500
Br1 0.500 0.500 0.000